No. 1
VASP calculation (meta-GGA SCAN) on a crystal of TaSb2Se relaxed with PBEsol.

POSCAR file:
```
TaSb2Se
1.0
-0.440 -1.362 -2.904
5.136 1.061 -0.299
0.198 -4.325 2.975
Sb Se Ta
2 1 1
Direct
0.000 0.500 0.000 Sb
0.000 0.000 0.500 Sb
0.500 0.000 0.000 Se
0.500 0.500 0.500 Ta
```

Properties
size of the total moment = 0.00 μB per cell
formation energy without anion corrections = 472 meV per atom

No. 2
VASP calculation (meta-GGA SCAN) on a crystal of Ta2SbSe relaxed with PBEsol.

POSCAR file:
```
Ta2SbSe
1.0
4.735 0.000 0.000
2.367 4.100 0.000
2.367 1.367 3.866
Sb Se Ta
1 1 2
Direct
0.500 0.500 0.500 Sb
0.250 0.250 0.250 Se
0.000 0.000 0.000 Ta
0.750 0.750 0.750 Ta
```

Properties
size of the total moment = 0.00 μB per cell
relative energy among the computed polymorphs = 543 meV/atom
formation energy without anion corrections = 480 meV per atom

No. 3
VASP calculation (meta-GGA SCAN) on a crystal of Tc2SbSe relaxed with PBEsol.

POSCAR file:
```
Tc2SbSe
1.0
-1.221 -2.680 0.820
2.748 -0.510 -3.272
3.362 -0.203 4.344
Sb Se Tc
1 1 2
Direct
0.000 0.000 0.500 Sb
0.500 0.000 0.000 Se
0.749 0.498 0.789 Tc
0.251 0.502 0.211 Tc
```

Properties
size of the total moment = 0.00 μB per cell
relative energy among the computed polymorphs = 89 meV/atom
formation energy without anion corrections = 236 meV per atom

No. 4
VASP calculation (meta-GGA SCAN) on a crystal of Tc2SbSe relaxed with PBEsol.

POSCAR file:
```
Tc2SbSe
1.0
-2.193 -0.173 2.041
-2.436 -1.664 -0.552
2.788 -8.279 4.500
Sb Se Tc
1 1 2
Direct
0.482 0.482 0.554 Sb
0.275 0.275 0.175 Se
0.002 0.002 0.993 Tc
0.741 0.741 0.777 Tc
```

Properties
size of the total moment = 0.00 μB per cell
relative energy among the computed polymorphs = 0 meV/atom
formation energy without anion corrections = 147 meV per atom

No. 5
VASP calculation (meta-GGA SCAN) on a crystal of Tc3SbSe relaxed with PBEsol.

POSCAR file:
```
Tc3SbSe
1.0
-2.589 -2.435 3.227
4.042 -1.486 2.122
-0.077 3.862 2.852
Sb Tc Se
1 3 1
Direct
0.000 0.000 0.000 Sb
0.000 0.500 0.000 Tc
0.000 0.000 0.500 Tc
0.500 0.000 0.000 Tc
0.500 0.500 0.500 Se
```

Properties
size of the total moment = 4.20 μB per cell
formation energy without anion corrections = 2068 meV per atom

No. 6
VASP calculation (meta-GGA SCAN) on a crystal of SbTeSe2 relaxed with PBEsol.

POSCAR file:
```
SbTeSe2
1.0
-1.508 4.625 -1.375
-4.504 1.739 1.497
-0.267 3.697 3.437
Sb Te Se
1 1 2
Direct
0.500 0.500 0.500 Sb
0.000 0.000 0.000 Te
0.250 0.250 0.250 Se
0.750 0.750 0.750 Se
```

Properties
size of the total moment = 0.00 μB per cell
relative energy among the computed polymorphs = 275 meV/atom
formation energy without anion corrections = 313 meV per atom

No. 7
VASP calculation (meta-GGA SCAN) on a crystal of SbTeSe2 relaxed with PBEsol.

POSCAR file:
```
SbTeSe2
1.0
5.140 0.004 0.006
-1.836 4.801 -0.006
-1.836 -2.276 4.228
Sb Te Se
1 1 2
Direct
0.000 0.500 0.500 Sb
0.000 0.000 0.000 Te
0.500 0.000 0.500 Se
0.500 0.500 0.000 Se
```

Properties
size of the total moment = 0.00 μB per cell
relative energy among the computed polymorphs = 8 meV/atom
formation energy without anion corrections = 45 meV per atom

No. 8
VASP calculation (meta-GGA SCAN) on a crystal of SbTe2Se relaxed with PBEsol.

POSCAR file:
```
SbTe2Se
1.0
3.389 0.000 0.000
0.000 5.733 -0.026
0.000 -2.486 5.166
Sb Te Se
1 2 1
Direct
0.500 0.000 0.000 Sb
0.000 0.500 0.000 Te
0.000 0.000 0.500 Te
0.500 0.500 0.500 Se
```

Properties
size of the total moment = 0.00 μB per cell
formation energy without anion corrections = 431 meV per atom

No. 9
VASP calculation (meta-GGA SCAN) on a crystal of SbTe2Se2 relaxed with PBEsol.

POSCAR file:
```
SbTe2Se2
1.0
5.565 0.000 0.000
-2.783 5.455 -0.002
0.000 2.840 4.786
Sb Se Te
1 2 2
Direct
0.000 0.000 0.000 Sb
0.750 0.500 0.750 Se
0.250 0.500 0.250 Se
0.318 0.635 0.682 Te
0.682 0.365 0.318 Te
```

Properties
size of the total moment = 0.00 μB per cell
formation energy without anion corrections = 354 meV per atom

No. 10
VASP calculation (meta-GGA SCAN) on a crystal of SbTeSe2 relaxed with PBEsol.

POSCAR file:
```
SbTeSe2
1.0
4.156 0.000 0.000
0.000 4.163 0.080
0.000 -0.114 5.995
Sb Te Se
1 1 2
Direct
0.000 0.000 0.500 Sb
0.500 0.500 0.000 Te
0.000 0.000 0.000 Se
0.500 0.500 0.500 Se
```

Properties
size of the total moment = 0.00 μB per cell
relative energy among the computed polymorphs = 0 meV/atom
formation energy without anion corrections = 38 meV per atom

No. 11
VASP calculation (meta-GGA SCAN) on a crystal of ThSbSe relaxed with PBEsol.

POSCAR file:
```
ThSbSe
1.0
4.234 0.000 0.000
0.000 4.234 0.000
0.000 0.000 8.650
Sb Se Th
2 2 2
Direct
0.000 0.000 0.000 Sb
0.500 0.500 0.000 Sb
0.000 0.500 0.364 Se
0.500 0.000 0.636 Se
0.000 0.500 0.711 Th
0.500 0.000 0.289 Th
```

Properties
size of the total moment = 0.00 μB per cell
formation energy without anion corrections = -1344 meV per atom

No. 12
VASP calculation (meta-GGA SCAN) on a crystal of Ti2Sb2Se relaxed with PBEsol.

POSCAR file:
```
Ti2Sb2Se
1.0
3.795 0.000 0.000
0.000 7.206 0.000
0.000 0.000 7.206
Sb Se Ti
4 2 4
Direct
0.500 0.144 0.644 Sb
0.500 0.644 0.856 Sb
0.500 0.856 0.356 Sb
0.500 0.356 0.144 Sb
0.000 0.000 0.000 Se
0.000 0.500 0.500 Se
0.000 0.346 0.846 Ti
0.000 0.846 0.654 Ti
0.000 0.654 0.154 Ti
0.000 0.154 0.346 Ti
```

Properties
size of the total moment = 0.00 μB per cell
formation energy without anion corrections = -490 meV per atom